# Fe4Sn2H

Crystalline Fe4Sn2H at its relaxed geometry (PBE, the Alexandria database).

```
7
Lattice="-1.913 1.913 6.505 1.913 -1.913 6.505 1.913 1.913 -6.505" Properties=species:S:1:pos:R:3 pbc="T T T"
Fe 1.913 0.000 0.000
Fe 0.000 0.000 1.712
Fe 0.000 1.913 0.000
Fe 0.000 0.000 11.298
Sn 0.000 0.000 4.395
Sn 0.000 0.000 8.615
H 0.000 0.000 0.000
```

Properties
Total energy: -6.38 eV/atom